# KLaW2

KLaW2 after structural relaxation (PBE, Alexandria via LeMat-Bulk).

Output
formation energy	2.151	eV/atom

Cell lengths 5.1962, 5.1962, 5.1962 Å; angles 60.00, 60.00, 60.00 degrees
Element x y z (fractional)
K: 0.0000 0.0000 0.0000
La: 0.5000 0.5000 0.5000
W: 0.2500 0.2500 0.2500
W: 0.7500 0.7500 0.7500